# InNiF2 (PBE with a Hubbard U, relaxed)
data_InNiF2
_cell_length_a 5.988
_cell_length_b 5.988
_cell_length_c 5.988
_cell_angle_alpha 90.00
_cell_angle_beta 90.00
_cell_angle_gamma 90.00
_space_group_name_H-M_alt 'F m -3 m'
_space_group_IT_number 225
_space_group_name_Hall '-F 4 2 3'
loop_
_atom_site_label
_atom_site_type_symbol
_atom_site_fract_x
_atom_site_fract_y
_atom_site_fract_z
In1 In 0.000 0.000 0.000
Ni1 Ni 0.000 0.000 0.500
F1 F 0.250 0.250 0.250
# Crystal system: cubic
# VASP energy, eV/cell: -45.80
# Density, g/cm³: 6.54